Record 1
CdNiBPt2 PBE relaxed; symmetry = No. 123; VASP energy = -26.60 eV for the cell shown
1.0
4.2287 0.0000 0.0000
0.0000 4.2287 0.0000
0.0000 0.0000 3.9926
Cd Ni B Pt
1 1 1 2
direct
0.0000 0.0000 0.0000
0.5000 0.5000 0.0000
0.5000 0.5000 0.5000
0.0000 0.5000 0.5000
0.5000 0.0000 0.5000


Record 2
CdNiBRh2 PBE relaxed; symmetry = No. 123; VASP energy = -29.06 eV for the cell shown
1.0
4.1456 0.0000 0.0000
0.0000 4.1456 0.0000
0.0000 0.0000 3.9517
Cd Ni B Rh
1 1 1 2
direct
0.0000 0.0000 0.0000
0.5000 0.5000 0.0000
0.5000 0.5000 0.5000
0.0000 0.5000 0.5000
0.5000 0.0000 0.5000


Record 3
CdNiB2Rh PBE relaxed; symmetry = No. 123; VASP energy = -23.21 eV for the cell shown
1.0
3.9594 0.0000 0.0000
0.0000 3.9594 0.0000
0.0000 0.0000 4.9828
Cd Ni B Rh
1 1 2 1
direct
0.0000 0.0000 0.0000
0.5000 0.5000 0.0000
0.0000 0.5000 0.5000
0.5000 0.0000 0.5000
0.5000 0.5000 0.5000


no.,ΔH_f (0 K) (meV/atom)
1,-228.7
2,-195.8
3,838.7